# TlZnNi3 | Alexandria | PBE | relaxed
data_TlZnNi3
_chemical_formula_sum 'Tl1 Zn1 Ni3'
_cell_length_a 4.381
_cell_length_b 4.381
_cell_length_c 4.381
_cell_angle_alpha 90.00
_cell_angle_beta 90.00
_cell_angle_gamma 90.00
_symmetry_space_group_name_H-M 'P m -3 m'
_symmetry_Int_Tables_number 221
_symmetry_space_group_name_Hall '-P 4 2 3'
loop_
_atom_site_label
_atom_site_fract_x
_atom_site_fract_y
_atom_site_fract_z
Tl1 0.000 0.000 0.000
Zn1 0.500 0.500 0.500
Ni1 0.000 0.500 0.500
# Total energy, eV per cell: -17.60